No. 1
VASP calculation (GGA-PBE) on a relaxed ZrCdBr2 crystal.

Unit cell a=11.224 b=11.224 c=11.224 alpha=17.65 beta=17.65 gamma=17.65
Sites, in units of the cell vectors:
Br 0.025 0.025 0.025
Zr 0.750 0.750 0.750
Cd 0.250 0.250 0.250
Br 0.475 0.475 0.475

## Properties
energy relative to the elements, uncorrected = -0.78 eV per atom
magnetization = 0.00 μB per formula unit
DFT total energy = -3.981 eV per atom
ρ = 5.320 g cm⁻³
V = 28.36 A^3/atom
density of states at the Fermi level = 2.20 states/eV/cell

---

No. 2
VASP calculation (GGA-PBE) on a relaxed ZrCd2Br crystal.

Unit cell a=3.191 b=4.867 c=5.922 alpha=90.00 beta=90.00 gamma=90.00
Sites, in units of the cell vectors:
Cd 0.500 0.500 0.000
Zr 0.500 0.000 0.500
Cd 0.000 0.000 0.000
Br 0.000 0.500 0.500

## Properties
energy relative to the elements, uncorrected = -0.07 eV per atom
magnetization = 0.00 μB per formula unit
DFT total energy = -3.080 eV per atom
ρ = 7.149 g cm⁻³
V = 22.99 A^3/atom
density of states at the Fermi level = 2.67 states/eV/cell